Here is a geometry-optimized ZnIn2Cu structure from Alexandria via LeMat-Bulk. Energies are from PBE.

For the formation energy, the calculation gives 0.052 eV per atom.

It has space group Pm (No. 6), with a = 3.824 Å, b = 4.128 Å, c = 5.327 Å, α = 90.00°, β = 109.78° and γ = 90.00°. The asymmetric unit holds Zn at (0.000, 0.000, 0.000), In at (0.424, 0.500, 0.843), In at (0.718, 0.000, 0.439) and Cu at (0.152, 0.500, 0.293).

***

Here is a geometry-optimized ZnCdAu5 structure from Alexandria via LeMat-Bulk. Energies are from PBE.

For the formation energy, the calculation gives -0.114 eV per atom. The energy above the lowest structure with this stoichiometry comes out at 0 meV per atom.

It has space group P4/mmm (No. 123), with a = 4.237 Å, b = 4.237 Å, c = 7.317 Å, α = 90.00°, β = 90.00° and γ = 90.00°. The asymmetric unit holds Zn at (0.000, 0.000, 0.000), Cd at (0.500, 0.500, 0.500), Au at (0.000, 0.000, 0.500) and Au at (0.000, 0.500, 0.214).

***

Here is a geometry-optimized SmHgSb2 structure from Alexandria via LeMat-Bulk. Energies are from PBE.

The energy above the lowest structure with this stoichiometry comes out at 251 meV per atom. The calculation puts the formation energy from raw total energies at -0.95 eV per formula unit.

It has space group R-3m (No. 166, hexagonal axes), with a = 4.5687 Å, b = 4.5687 Å, c = 20.2139 Å, α = 90.00°, β = 90.00° and γ = 120.00°. The asymmetric unit holds Sm at (0.0000, 0.0000, 0.0000), Hg at (0.0000, 0.0000, 0.5000) and Sb at (0.0000, 0.0000, 0.2478).

***

Here is a geometry-optimized SrLiMo structure from Alexandria via LeMat-Bulk. Energies are from PBE.

For the formation energy, the calculation gives 0.480 eV per atom. The energy above the lowest structure with this stoichiometry comes out at 105 meV per atom.

It has space group Cm (No. 8), with a = 13.014 Å, b = 3.659 Å, c = 6.652 Å, α = 90.00°, β = 91.27° and γ = 90.00°. The asymmetric unit holds Sr at (0.000, 0.000, 0.000), Sr at (0.127, 0.500, 0.482), Li at (0.239, 0.500, 0.012), Li at (0.309, 0.000, 0.735), Mo at (0.335, 0.000, 0.287) and Mo at (0.403, 0.500, 0.482).

***

Here is a geometry-optimized Ac2DyHg4 structure from Alexandria via LeMat-Bulk. Energies are from PBE.

For the formation energy, the calculation gives -0.363 eV per atom.

It has space group R-3m (No. 166, hexagonal axes), with a = 5.0771 Å, b = 5.0771 Å, c = 31.3000 Å, α = 90.00°, β = 90.00° and γ = 120.00°. The asymmetric unit holds Ac at (0.0000, 0.0000, 0.2464), Dy at (0.0000, 0.0000, 0.0000), Hg at (0.0000, 0.0000, 0.1397) and Hg at (0.0000, 0.0000, 0.3631).

***

Here is a geometry-optimized Fe3Ni5S12 structure from Alexandria via LeMat-Bulk. Energies are from PBE.

The calculation puts the formation energy from raw total energies at -1.50 eV per formula unit.

It has space group Ia-3d (No. 230), with a = 13.659 Å, b = 13.659 Å, c = 13.659 Å, α = 90.00°, β = 90.00° and γ = 90.00°. The asymmetric unit holds Fe at (0.000, 0.250, 0.125), Ni at (0.000, 0.000, 0.000), Ni at (0.000, 0.250, 0.375) and S at (0.024, 0.066, 0.651).